This record from Alexandria describes crystalline RbTe2F11 at its relaxed geometry. The functional is PBE.

Magnetization (μB per atom): 0.00
Raw formation energy (eV/f.u.): -30.5
Symmetry: Ibam (72)
Total DFT energy (no corrections) (eV per cell): -116.6

Cell: 9.1378 9.1378 9.1378 Å, 115.04 112.78 100.93°
Positions (direct):
Rb  0.2500  0.7500  0.5000
Rb  0.7500  0.2500  0.5000
Te  0.1589  0.1518  0.3107
Te  0.8411  0.8482  0.6893
Te  0.6589  0.3482  0.0072
Te  0.3411  0.6518  0.9928
F  0.1910  0.3790  0.3335
F  0.8090  0.6210  0.6665
F  0.0454  0.8574  0.6665
F  0.4546  0.1210  0.8120
F  0.9546  0.1426  0.3335
F  0.5454  0.8790  0.1880
F  0.3090  0.6426  0.1880
F  0.6910  0.3574  0.8120
F  0.0000  0.0000  0.0000
F  0.5000  0.5000  0.0000
F  0.2943  0.2836  0.5778
F  0.7057  0.7164  0.4222
F  0.7943  0.2164  0.0107
F  0.2057  0.7836  0.9893
F  0.3789  0.1773  0.3188
F  0.6211  0.8227  0.6812
F  0.8585  0.0601  0.6812
F  0.6415  0.3227  0.2016
F  0.1415  0.9399  0.3188
F  0.3585  0.6773  0.7984
F  0.1211  0.4399  0.7984
F  0.8789  0.5601  0.2016

This record from Alexandria describes crystalline Rb2TeF7 at its relaxed geometry. The functional is PBE.

Magnetization (μB per atom): 0.09
Raw formation energy (eV/f.u.): -21.7
Offset from the most stable computed form (eV per atom): 0.197
Symmetry: Fm-3m (225)
Total DFT energy (no corrections) (eV per cell): -39.8

Cell: 6.6265 6.6265 6.6265 Å, 60.00 60.00 60.00°
Site moments in Bohr magnetons follow the coordinates.
Positions (direct):
Rb  0.2500  0.2500  0.2500  0.00
Rb  0.7500  0.7500  0.7500  0.00
Te  0.0000  0.0000  0.0000  0.08
F  0.5000  0.5000  0.5000  0.38
F  0.2166  0.7834  0.7834  0.06
F  0.2166  0.7834  0.2166  0.06
F  0.7834  0.2166  0.7834  0.06
F  0.7834  0.7834  0.2166  0.06
F  0.2166  0.2166  0.7834  0.06
F  0.7834  0.2166  0.2166  0.06

This record from Alexandria describes crystalline RbTeF3 at its relaxed geometry. The functional is PBE.

Magnetization (μB per atom): 0.65
Raw formation energy (eV/f.u.): -4.0
Offset from the most stable computed form (eV per atom): 1.261
Symmetry: Pm-3m (221)
Total DFT energy (no corrections) (eV per cell): -13.7

Cell: 4.7365 4.7365 4.7365 Å, 90.00 90.00 90.00°
Site moments in Bohr magnetons follow the coordinates.
Positions (direct):
Te  0.5000  0.5000  0.5000  1.32
Rb  0.0000  0.0000  0.0000  0.12
F  0.0000  0.5000  0.0000  0.16
F  0.0000  0.0000  0.5000  0.49
F  0.5000  0.0000  0.0000  0.10

This record from Alexandria describes crystalline Rb3TeF7 at its relaxed geometry. The functional is PBE.

Magnetization (μB per atom): 0.01
Raw formation energy (eV/f.u.): -27.5
Symmetry: P4/mbm (127)
Total DFT energy (no corrections) (eV per cell): -93.3

Cell: 6.2961 8.4963 8.4963 Å, 90.00 90.00 90.00°
Site moments in Bohr magnetons follow the coordinates.
Positions (direct):
Rb  0.5000  0.1932  0.6932  0.00
Rb  0.5000  0.6932  0.8068  0.00
Rb  0.5000  0.3068  0.1932  0.00
Rb  0.5000  0.8068  0.3068  0.00
Rb  0.0000  0.5000  0.5000  0.00
Rb  0.0000  0.0000  0.0000  0.00
Te  0.0000  0.0000  0.5000  0.00
Te  0.0000  0.5000  0.0000  0.00
F  0.7547  0.3833  0.8833  0.00
F  0.7547  0.6167  0.1167  0.00
F  0.7547  0.1167  0.3833  0.00
F  0.7547  0.8833  0.6167  0.00
F  0.2453  0.3833  0.8833  0.00
F  0.2453  0.8833  0.6167  0.00
F  0.2453  0.1167  0.3833  0.00
F  0.2453  0.6167  0.1167  0.00
F  0.5000  0.0000  0.0000  0.08
F  0.5000  0.5000  0.5000  0.08
F  0.0000  0.8259  0.3259  0.00
F  0.0000  0.3259  0.1741  0.00
F  0.0000  0.6741  0.8259  0.00
F  0.0000  0.1741  0.6741  0.00

This record from Alexandria describes crystalline RbTeF3 at its relaxed geometry. The functional is PBE.

Magnetization (μB per atom): 0.00
Raw formation energy (eV/f.u.): -10.3
Offset from the most stable computed form (eV per atom): 0.000
Symmetry: P-1 (2)
Total DFT energy (no corrections) (eV per cell): -40.0

Cell: 4.8311 6.4050 8.5581 Å, 68.06 85.11 89.97°
Positions (direct):
Rb  0.9373  0.6644  0.4128
Rb  0.4346  0.3544  0.0324
Te  0.5296  0.1055  0.5310
Te  0.8424  0.9132  0.9142
F  0.9519  0.0667  0.0742
F  0.6868  0.2510  0.7231
F  0.6853  0.7677  0.7221
F  0.4202  0.4190  0.3710
F  0.9516  0.5998  0.0744
F  0.4198  0.9523  0.3710

This record from Alexandria describes crystalline Rb3TeF6 at its relaxed geometry. The functional is PBE.

Magnetization (μB per atom): 0.10
Raw formation energy (eV/f.u.): -23.4
Symmetry: C2/m (12)
Total DFT energy (no corrections) (eV per cell): -40.7

Cell: 7.1644 6.9334 6.9334 Å, 56.54 55.69 55.69°
Site moments in Bohr magnetons follow the coordinates.
Positions (direct):
Rb  0.2699  0.2523  0.2523  0.00
Rb  0.7301  0.7477  0.7477  0.00
Rb  0.0000  0.0000  0.0000  0.00
Te  0.5000  0.5000  0.5000  0.41
F  0.3301  0.2254  0.6361  0.06
F  0.6699  0.3639  0.7746  0.06
F  0.6699  0.7746  0.3639  0.06
F  0.3301  0.6361  0.2254  0.06
F  0.1685  0.7143  0.7143  0.02
F  0.8315  0.2857  0.2857  0.02